{
  "formula": "Na2Dy3YSe6",
  "functional": "PBE",
  "state": "relaxed",
  "cell": [[-6.829, -1.949, -0.246], [5.110, -4.915, -0.468], [0.525, 1.593, 6.979]],
  "species": ["Na", "Na", "Dy", "Dy", "Dy", "Y", "Se", "Se", "Se", "Se", "Se", "Se"],
  "fractional_positions": [[0.334, 0.666, 0.000], [0.666, 0.334, 0.000], [0.169, 0.831, 0.500], [0.831, 0.169, 0.500], [0.500, 0.500, 0.500], [0.000, 0.000, 0.000], [0.915, 0.586, 0.746], [0.757, 0.757, 0.257], [0.085, 0.414, 0.254], [0.586, 0.915, 0.746], [0.243, 0.243, 0.743], [0.414, 0.085, 0.254]],
  "formation_energy_uncorrected_kcal_per_mol_atoms": -39.70,
  "e_tot_ev_per_cell": -64.473
}

{
  "formula": "CeNd2DyY5",
  "functional": "PBE",
  "state": "relaxed",
  "cell": [[8.630, 0.000, 0.000], [0.000, 8.630, 0.000], [-4.315, -4.315, 7.875]],
  "species": ["Ce", "Ce", "Nd", "Nd", "Nd", "Nd", "Dy", "Dy", "Y", "Y", "Y", "Y", "Y", "Y", "Y", "Y", "Y", "Y"],
  "fractional_positions": [[0.250, 0.750, 0.500], [0.750, 0.250, 0.500], [0.120, 0.380, 0.000], [0.620, 0.120, 0.000], [0.380, 0.880, 0.000], [0.880, 0.620, 0.000], [0.250, 0.250, 0.500], [0.750, 0.750, 0.500], [0.937, 0.437, 0.281], [0.656, 0.156, 0.719], [0.063, 0.563, 0.719], [0.156, 0.063, 0.719], [0.563, 0.656, 0.719], [0.844, 0.937, 0.281], [0.437, 0.344, 0.281], [0.344, 0.844, 0.281], [0.500, 0.500, 0.000], [0.000, 0.000, 0.000]],
  "formation_enthalpy_0k_ev_per_atom": 0.259,
  "e_tot_ev_per_cell": -100.121
}

{
  "formula": "FeCoNi2",
  "functional": "PBE",
  "state": "relaxed",
  "cell": [[2.938, 0.000, 0.000], [0.000, 2.938, 0.000], [0.000, 0.000, 5.204]],
  "species": ["Co", "Fe", "Ni", "Ni"],
  "fractional_positions": [[0.000, 0.000, 0.496], [0.500, 0.500, 0.752], [0.000, 0.000, 0.001], [0.500, 0.500, 0.250]],
  "formation_enthalpy_0k_ev_per_atom": 0.026,
  "e_tot_ev_per_cell": -27.027
}